Record 1
Mg4Ni5Bi4 after structural relaxation, computed with PBE.

abc: 14.6331 14.6331 14.6331
angles: 17.50 17.50 17.50
Closest atoms and distances in Å follow each position.
Fractional coordinates of all 13 atoms:
Bi 0.1253 0.1253 0.1253  4 Ni 2.70-2.71
Bi 0.3755 0.3755 0.3755  4 Ni 2.72-2.76
Bi 0.6266 0.6266 0.6266  7 Ni 2.69-2.75
Bi 0.8736 0.8736 0.8736  5 Ni 2.67-2.76
Mg 0.0021 0.0021 0.0021  5 Ni 2.62-2.81
Mg 0.2479 0.2479 0.2479  7 Ni 2.68-2.76
Mg 0.4992 0.4992 0.4992  4 Ni 2.72-2.79
Mg 0.7499 0.7499 0.7499  4 Ni 2.67-2.72
Ni 0.0629 0.0629 0.0629  4 Mg 2.62-2.72, 4 Bi 2.70-2.72
Ni 0.3117 0.3117 0.3117  4 Bi 2.69-2.76, 4 Mg 2.76-2.77
Ni 0.5638 0.5638 0.5638  4 Mg 2.68-2.79, 4 Bi 2.71-2.76
Ni 0.8118 0.8118 0.8118  4 Bi 2.67-2.71, 4 Mg 2.67-2.72
Ni 0.9370 0.9370 0.9370  4 Bi 2.74-2.75, 4 Mg 2.75-2.81

Values from the calculation:
For the raw total energy, the calculation gives -4.04 eV/atom. The space group is R3m (160).

***

Record 2
Mg2NiBi after structural relaxation, computed with PBE.

abc: 4.8292 4.8292 4.8292
angles: 60.00 60.00 60.00
Closest atoms and distances in Å follow each position.
Fractional coordinates of all 4 atoms:
Bi 0.5000 0.5000 0.5000  4 Mg 2.96, 4 Ni 2.96
Mg 0.0000 0.0000 0.0000  4 Mg 2.96, 4 Ni 2.96
Mg 0.7500 0.7500 0.7500  4 Bi 2.96, 4 Mg 2.96
Ni 0.2500 0.2500 0.2500  4 Bi 2.96, 4 Mg 2.96

Values from the calculation:
For the raw total energy, the calculation gives -3.09 eV/atom. The space group is F-43m (216).

***

Record 3
MgNiBi after structural relaxation, computed with PBE.

abc: 4.5884 4.5884 6.4621
angles: 90.00 90.00 120.00
Closest atoms and distances in Å follow each position.
Fractional coordinates of all 6 atoms:
Bi 0.6667 0.3333 0.2500  3 Ni 2.65
Bi 0.3333 0.6667 0.7500  3 Ni 2.65
Mg 0.0000 0.0000 0.0000  6 Ni 3.10, 6 Bi 3.10, 2 Mg 3.23
Mg 0.0000 0.0000 0.5000  6 Bi 3.10, 6 Ni 3.10, 2 Mg 3.23
Ni 0.3333 0.6667 0.2500  3 Bi 2.65
Ni 0.6667 0.3333 0.7500  3 Bi 2.65

Values from the calculation:
For the raw total energy, the calculation gives -3.74 eV/atom. The excess energy over the best structure of this formula in the dataset comes out at 0.2067 eV per atom. The space group is P6_3/mmc (194).

***

Record 4
MgNiBiOs after structural relaxation, computed with PBE.

abc: 4.5863 4.5863 4.5863
angles: 60.00 60.00 60.00
Closest atoms and distances in Å follow each position.
Fractional coordinates of all 4 atoms:
Bi 0.0000 0.0000 0.0000  4 Ni 2.81, 4 Mg 2.81
Mg 0.2500 0.2500 0.2500  4 Os 2.81, 4 Bi 2.81
Ni 0.7500 0.7500 0.7500  4 Bi 2.81, 4 Os 2.81
Os 0.5000 0.5000 0.5000  4 Mg 2.81, 4 Ni 2.81

Values from the calculation:
For the raw total energy, the calculation gives -4.96 eV/atom. The space group is F-43m (216).

***

Record 5
MgNiBiPd after structural relaxation, computed with PBE.

abc: 4.6386 4.6386 4.6386
angles: 60.00 60.00 60.00
Closest atoms and distances in Å follow each position.
Fractional coordinates of all 4 atoms:
Bi 0.0000 0.0000 0.0000  4 Ni 2.84, 4 Pd 2.84
Mg 0.5000 0.5000 0.5000  4 Pd 2.84, 4 Ni 2.84
Ni 0.7500 0.7500 0.7500  4 Mg 2.84, 4 Bi 2.84
Pd 0.2500 0.2500 0.2500  4 Mg 2.84, 4 Bi 2.84

Values from the calculation:
For the raw total energy, the calculation gives -4.33 eV/atom. The excess energy over the best structure of this formula in the dataset comes out at 0.0000 eV per atom. The space group is F-43m (216).

***

Record 6
RbMgNiBi after structural relaxation, computed with PBE.

abc: 5.3319 5.3319 5.3319
angles: 60.00 60.00 60.00
Closest atoms and distances in Å follow each position.
Fractional coordinates of all 4 atoms:
Bi 0.0000 0.0000 0.0000  4 Mg 3.27, 4 Rb 3.27
Mg 0.7500 0.7500 0.7500  4 Ni 3.27, 4 Bi 3.27
Ni 0.5000 0.5000 0.5000  4 Rb 3.27, 4 Mg 3.27
Rb 0.2500 0.2500 0.2500  4 Ni 3.27, 4 Bi 3.27

Values from the calculation:
For the raw total energy, the calculation gives -2.55 eV/atom. The excess energy over the best structure of this formula in the dataset comes out at 0.0957 eV per atom. The space group is F-43m (216).